Entry 1:
Density functional theory data (GGA-PBE) for a relaxed NdTmAg2Sn2 crystal.

Cell and atoms, written as CIF:
```
data_NdTmAg2Sn2
_chemical_formula_sum 'Nd1 Tm1 Ag2 Sn2'
_space_group_name_H-M_alt 'P 1'
_space_group_IT_number 1
_space_group_name_Hall 'P 1'
_cell_length_a 4.7485
_cell_length_b 4.7485
_cell_length_c 7.4409
_cell_angle_alpha 90.00
_cell_angle_beta 90.00
_cell_angle_gamma 120.00
loop_
_atom_site_label
_atom_site_fract_x
_atom_site_fract_y
_atom_site_fract_z
_atom_site_occupancy
Nd1 0.0000 0.0000 0.0000 1
Tm1 0.0000 0.0000 0.5017 1
Ag1 0.3333 0.6667 0.2086 1
Ag2 0.6667 0.3333 0.6830 1
Sn1 0.3333 0.6667 0.7729 1
Sn2 0.6667 0.3333 0.2854 1
```

Results
VASP energy, eV/atom: -4.408
SG: P3m1 (156)
Volume, Å³/f.u.: 145.30

=====

Entry 2:
Density functional theory data (GGA-PBE) for a relaxed NdY2Ag4Sn4 crystal.

Cell and atoms, written as CIF:
```
data_NdY2Ag4Sn4
_chemical_formula_sum 'Nd1 Y2 Ag4 Sn4'
_space_group_name_H-M_alt 'P 1'
_space_group_IT_number 1
_space_group_name_Hall 'P 1'
_cell_length_a 8.8451
_cell_length_b 8.8451
_cell_length_c 8.8451
_cell_angle_alpha 150.03
_cell_angle_beta 130.20
_cell_angle_gamma 59.22
loop_
_atom_site_label
_atom_site_fract_x
_atom_site_fract_y
_atom_site_fract_z
_atom_site_occupancy
Nd1 0.0000 0.0000 0.0000 1
Y1 0.3720 0.8720 0.5000 1
Y2 0.6280 0.1280 0.5000 1
Ag1 0.0266 0.3294 0.6972 1
Ag2 0.3678 0.6706 0.6972 1
Ag3 0.6322 0.3294 0.3028 1
Ag4 0.9734 0.6706 0.3028 1
Sn1 0.2171 0.2171 0.0000 1
Sn2 0.3080 0.5000 0.8080 1
Sn3 0.6920 0.5000 0.1920 1
Sn4 0.7829 0.7829 0.0000 1
```

Results
VASP energy, eV/atom: -4.620
SG: Immm (71)
Volume, Å³/f.u.: 262.00